# CdFe2MoPb

An optimized crystal structure of CdFe2MoPb (PBE, Alexandria).

CIF file:
```
data_CdFe2MoPb
_symmetry_space_group_name_H-M 'P 1'
_symmetry_Int_Tables_number 1
_symmetry_space_group_name_Hall 'P 1'
_cell_length_a 4.769
_cell_length_b 5.260
_cell_length_c 4.769
_cell_angle_alpha 90.00
_cell_angle_beta 90.00
_cell_angle_gamma 90.00
loop_
_atom_site_label
_atom_site_type_symbol
_atom_site_fract_x
_atom_site_fract_y
_atom_site_fract_z
Fe1 Fe 0.000 0.000 0.500
Fe2 Fe 0.500 0.000 0.000
Pb1 Pb 0.000 0.000 0.000
Cd1 Cd 0.000 0.500 0.000
Mo1 Mo 0.500 0.500 0.500
```

Values from the calculation:
Volume = 119.63 Å³ per cell
Total energy = -21.149 eV per cell
M_tot = 4.0 μB/f.u.
Symmetry = No. 123

***

# CdFeSn2Mo

An optimized crystal structure of CdFeSn2Mo (PBE, Alexandria).

CIF file:
```
data_CdFeSn2Mo
_symmetry_space_group_name_H-M 'P 1'
_symmetry_Int_Tables_number 1
_symmetry_space_group_name_Hall 'P 1'
_cell_length_a 5.163
_cell_length_b 4.835
_cell_length_c 5.163
_cell_angle_alpha 90.00
_cell_angle_beta 90.00
_cell_angle_gamma 90.00
loop_
_atom_site_label
_atom_site_type_symbol
_atom_site_fract_x
_atom_site_fract_y
_atom_site_fract_z
Mo1 Mo 0.500 0.500 0.500
Sn1 Sn 0.000 0.000 0.500
Sn2 Sn 0.500 0.000 0.000
Cd1 Cd 0.000 0.000 0.000
Fe1 Fe 0.000 0.500 0.000
```

Values from the calculation:
Volume = 128.88 Å³ per cell
Total energy = -20.025 eV per cell
M_tot = 6.7 μB/f.u.
Symmetry = No. 123